Entry 1:
A plane-wave DFT calculation with PBE was carried out for PrTlBr after structural relaxation.

a b c (Å): 5.182 5.468 8.487
angles (deg): 71.21 90.00 90.00
Sites, in units of the cell vectors:
Br (0.750, 0.719, 0.563)
Br (0.250, 0.281, 0.437)
Tl (0.250, 0.036, 0.928)
Tl (0.750, 0.964, 0.072)
Pr (0.250, 0.625, 0.750)
Pr (0.750, 0.375, 0.250)

Values from the calculation:
The value obtained for the calculated total energy is -21.27 eV for the cell shown. The theoretical density is 6202 kg/m³. As for the space group: No. 63.



Entry 2:
A plane-wave DFT calculation with PBE was carried out for CoTcBr2 after structural relaxation.

a b c (Å): 8.389 8.389 8.389
angles (deg): 156.80 157.69 32.40
Last column: magnetic moment on the atom in μB.
Sites, in units of the cell vectors:
Br (0.990, 0.990, 0.000)  0.06
Br (0.260, 0.760, 0.500)  -0.07
Co (0.577, 0.577, 0.000)  1.42
Tc (0.673, 0.173, 0.500)  0.44

Values from the calculation:
The value obtained for the calculated total energy is -18.69 eV for the cell shown. The theoretical density is 5964 kg/m³. As for the space group: No. 44.



Entry 3:
A plane-wave DFT calculation with PBE was carried out for NbP2AuCl after structural relaxation.

a b c (Å): 4.889 4.889 4.754
angles (deg): 90.00 90.00 90.00
Sites, in units of the cell vectors:
P (0.000, 0.500, 0.000)
P (0.500, 0.000, 0.000)
Nb (0.000, 0.000, 0.000)
Au (0.500, 0.500, 0.500)
Cl (0.000, 0.000, 0.500)

Values from the calculation:
The value obtained for the calculated total energy is -24.40 eV for the cell shown. The theoretical density is 5658 kg/m³. As for the space group: No. 123.



Number 1: formation energy from raw total energies -605 meV/atom. Number 2: formation energy from raw total energies 533 meV/atom. Number 3: formation energy from raw total energies 322 meV/atom.